Below is BaNpHg2O6 after structural relaxation, with properties calculated at the PBE level.

a b c (Å): 6.115 6.117 6.434
angles (deg): 90.00 118.38 119.99
Fractional coordinates of all 10 atoms:
Ba1 0.997 0.498 0.480
Np1 0.997 0.998 0.980
Hg1 0.497 0.748 0.231
Hg2 0.496 0.248 0.730
O1 0.572 0.931 0.754
O2 0.421 0.065 0.207
O3 0.866 0.800 0.207
O4 0.156 0.355 0.207
O5 0.837 0.640 0.754
O6 0.127 0.195 0.753

## Properties
Space-group type: R-3
Final energy (eV per cell): -63.0

Below is BaGe2SbPt after structural relaxation, with properties calculated at the PBE level.

a b c (Å): 5.233 5.233 6.640
angles (deg): 90.00 90.00 90.00
Fractional coordinates of all 5 atoms:
Sb1 0.000 0.000 0.000
Ge1 0.000 0.500 0.000
Ge2 0.500 0.000 0.000
Ba1 0.000 0.000 0.500
Pt1 0.500 0.500 0.500

## Properties
Space-group type: P4/mmm
Final energy (eV per cell): -18.0

Below is TlTcIO2 after structural relaxation, with properties calculated at the PBE level.

a b c (Å): 4.229 4.229 6.425
angles (deg): 90.00 90.00 90.00
Fractional coordinates of all 5 atoms:
I1 0.000 0.000 0.500
Tl1 0.000 0.000 0.000
Tc1 0.500 0.500 0.500
O1 0.000 0.500 0.000
O2 0.500 0.000 0.000

## Properties
Space-group type: P4/mmm
Final energy (eV per cell): -20.6
Polymorph energy (0 for the lowest one) (meV per atom): 1078

Repeat the first record exactly.
Below is BaNpHg2O6 after structural relaxation, with properties calculated at the PBE level.

a b c (Å): 6.115 6.117 6.434
angles (deg): 90.00 118.38 119.99
Fractional coordinates of all 10 atoms:
Ba1 0.997 0.498 0.480
Np1 0.997 0.998 0.980
Hg1 0.497 0.748 0.231
Hg2 0.496 0.248 0.730
O1 0.572 0.931 0.754
O2 0.421 0.065 0.207
O3 0.866 0.800 0.207
O4 0.156 0.355 0.207
O5 0.837 0.640 0.754
O6 0.127 0.195 0.753

## Properties
Space-group type: R-3
Final energy (eV per cell): -63.0

Please write out number 2 again, unchanged.
Below is BaGe2SbPt after structural relaxation, with properties calculated at the PBE level.

a b c (Å): 5.233 5.233 6.640
angles (deg): 90.00 90.00 90.00
Fractional coordinates of all 5 atoms:
Sb1 0.000 0.000 0.000
Ge1 0.000 0.500 0.000
Ge2 0.500 0.000 0.000
Ba1 0.000 0.000 0.500
Pt1 0.500 0.500 0.500

## Properties
Space-group type: P4/mmm
Final energy (eV per cell): -18.0

- Which value of final energy does entry 3 give?
  -20.6 eV per cell